# 1
Density functional theory data (PBE-GGA) for a geometry-optimized TaIn2Pd2 structure.

Values from the calculation:
calculated volume: 18.40 A^3/atom
formation enthalpy at 0 K: -0.04 eV/atom
DFT total energy: -5.5822 eV/atom

Cell lengths 7.8545, 7.8545, 2.9830 Å; angles 90.00, 90.00, 90.00 degrees
Last column: nearest neighbours and their distance in Å.
Fractional coordinates of all 10 atoms:
In 0.3597 0.8597 0.0000  6 Pd 2.68-2.79, 2 In 2.98
Ta 0.5000 0.5000 0.0000  2 Ta 2.98, 4 In 3.03, 8 Pd 3.31
In 0.8597 0.6403 0.0000  6 Pd 2.68-2.79, 2 In 2.98
In 0.6403 0.1403 0.0000  6 Pd 2.68-2.79, 2 In 2.98
In 0.1403 0.3597 0.0000  6 Pd 2.68-2.79, 2 In 2.98
Ta 0.0000 0.0000 0.0000  2 Ta 2.98, 4 In 3.03, 8 Pd 3.31
Pd 0.6595 0.8405 0.5000  6 In 2.68-2.79, 2 Pd 2.98
Pd 0.8405 0.3405 0.5000  6 In 2.68-2.79, 2 Pd 2.98
Pd 0.3405 0.1595 0.5000  6 In 2.68-2.79, 2 Pd 2.98
Pd 0.1595 0.6595 0.5000  6 In 2.68-2.79, 2 Pd 2.98

# 2
Density functional theory data (PBE-GGA) for a geometry-optimized HgTe2Pb structure.

Values from the calculation:
ΔE_f (raw): -1.67 kJ per mole of atoms
calculated volume: 30.17 A^3/atom
DFT total energy: -2.5907 eV/atom

Cell lengths 5.4133, 5.4133, 5.4133 Å; angles 113.21, 113.21, 102.23 degrees
Last column: nearest neighbours and their distance in Å.
Fractional coordinates of all 4 atoms:
Te 0.0000 0.0000 0.0000  2 Te 3.40, 4 Hg 3.43, 4 Pb 3.43
Pb 0.7500 0.2500 0.5000  2 Hg 3.40, 8 Te 3.43
Hg 0.2500 0.7500 0.5000  2 Pb 3.40, 8 Te 3.43
Te 0.5000 0.5000 0.0000  2 Te 3.40, 4 Pb 3.43, 4 Hg 3.43

# 3
Density functional theory data (PBE-GGA) for a geometry-optimized SeBr2Cl3F6 structure.

Values from the calculation:
ΔE_f (raw): -85.44 kJ per mole of atoms
calculated volume: 26.31 A^3/atom
DFT total energy: -2.8520 eV/atom

Cell lengths 5.0112, 8.3057, 9.1551 Å; angles 116.98, 109.16, 90.00 degrees
Last column: nearest neighbours and their distance in Å.
Fractional coordinates of all 12 atoms:
F 0.6947 0.9316 0.8631  1 Se 1.73
F 0.3053 0.0684 0.1369  1 Se 1.73
F 0.2763 0.0829 0.8705  1 Se 1.73
Cl 0.5000 0.0000 0.5000  2 Br 2.50
F 0.2763 0.7875 0.8705  1 Se 1.73
Br 0.6787 0.3386 0.6771  3 Cl 2.50-2.53
Br 0.3213 0.6614 0.3229  3 Cl 2.50-2.53
Se 0.5000 0.0000 0.0000  6 F 1.73
Cl 0.0000 0.5000 0.0000  2 Br 2.53
Cl 0.5000 0.5000 0.5000  2 Br 2.50
F 0.7237 0.2125 0.1295  1 Se 1.73
F 0.7237 0.9171 0.1295  1 Se 1.73

# 4
Density functional theory data (PBE-GGA) for a geometry-optimized CsLiCeI6 structure.

Values from the calculation:
ΔE_f (raw): -120.85 kJ per mole of atoms
calculated volume: 51.58 A^3/atom
DFT total energy: -3.2527 eV/atom

Cell lengths 7.8225, 7.8225, 17.5209 Å; angles 90.00, 90.00, 120.00 degrees
Last column: nearest neighbours and their distance in Å.
Fractional coordinates of all 18 atoms:
I 0.3696 0.3690 0.3503  1 Li 3.04, 1 Ce 3.04
Ce 0.3333 0.6667 0.2500  6 I 3.04
Cs 0.0000 0.0000 0.5000  6 I 3.90
I 0.3696 0.0006 0.1497  1 Li 3.04, 1 Ce 3.04
I 0.0006 0.3696 0.6497  1 Li 3.04, 1 Ce 3.04
I 0.6304 0.6310 0.6497  1 Li 3.04, 1 Ce 3.04
I 0.6310 0.6304 0.1497  1 Li 3.04, 1 Ce 3.04
I 0.9994 0.6304 0.3503  1 Li 3.04, 1 Ce 3.04
I 0.6310 0.0006 0.3503  1 Li 3.04, 1 Ce 3.04
I 0.3690 0.9994 0.6497  1 Li 3.04, 1 Ce 3.04
Ce 0.6667 0.3333 0.7500  6 I 3.04
Li 0.3333 0.6667 0.7500  6 I 3.04
Cs 0.0000 0.0000 0.0000  6 I 3.90
I 0.3690 0.3696 0.8503  1 Li 3.04, 1 Ce 3.04
Li 0.6667 0.3333 0.2500  6 I 3.04
I 0.9994 0.3690 0.1497  1 Li 3.04, 1 Ce 3.04
I 0.0006 0.6310 0.8503  1 Li 3.04, 1 Ce 3.04
I 0.6304 0.9994 0.8503  1 Li 3.04, 1 Ce 3.04

# 5
Density functional theory data (PBE-GGA) for a geometry-optimized LaPmAsPt structure.

Values from the calculation:
calculated volume: 24.65 A^3/atom
formation enthalpy at 0 K: -1.05 eV/atom
DFT total energy: -6.1402 eV/atom

Cell lengths 5.1859, 5.1859, 5.1859 Å; angles 60.00, 60.00, 60.00 degrees
Last column: nearest neighbours and their distance in Å.
Fractional coordinates of all 4 atoms:
As 0.0000 0.0000 0.0000  4 Pm 3.18, 4 La 3.18
La 0.2500 0.2500 0.2500  4 As 3.18, 4 Pt 3.18
Pt 0.5000 0.5000 0.5000  4 La 3.18, 4 Pm 3.18
Pm 0.7500 0.7500 0.7500  4 Pt 3.18, 4 As 3.18

# 6
Density functional theory data (PBE-GGA) for a geometry-optimized Sr3Cu9Si2 structure.

Values from the calculation:
ΔE_f (raw): -12.23 kJ per mole of atoms
calculated volume: 18.68 A^3/atom
DFT total energy: -3.8951 eV/atom

Cell lengths 4.1765, 8.2434, 8.2434 Å; angles 76.90, 75.33, 75.33 degrees
Last column: nearest neighbours and their distance in Å.
Fractional coordinates of all 14 atoms:
Cu 0.8975 0.8162 0.3888  2 Si 2.45, 5 Cu 2.50-2.52
Sr 0.6929 0.3071 0.3071  12 Cu 3.02-3.28
Cu 0.3073 0.3978 0.9876  1 Si 2.43, 5 Cu 2.50-2.68
Si 0.5000 0.7383 0.2617  6 Cu 2.43-2.45
Sr 0.3071 0.6929 0.6929  12 Cu 3.02-3.28
Cu 0.0000 0.5000 0.5000  4 Cu 2.52
Cu 0.1025 0.6112 0.1838  2 Si 2.45, 5 Cu 2.50-2.52
Cu 0.6927 0.6022 0.0124  1 Si 2.43, 5 Cu 2.50-2.68
Cu 0.8975 0.3888 0.8162  2 Si 2.45, 5 Cu 2.50-2.52
Cu 0.3073 0.9876 0.3978  1 Si 2.43, 5 Cu 2.50-2.68
Cu 0.6927 0.0124 0.6022  1 Si 2.43, 5 Cu 2.50-2.68
Cu 0.1025 0.1838 0.6112  2 Si 2.45, 5 Cu 2.50-2.52
Si 0.5000 0.2617 0.7383  6 Cu 2.43-2.45
Sr 0.0000 0.0000 0.0000  4 Cu 3.19, 4 Si 3.40